Entry 1:
Material: BeSiNiAu
Method: DFT, GGA-PBE
State: optimized geometry

For the magnetization, the calculation gives 0.00 Bohr magnetons per cell. For the electronic total energy, the calculation gives -4.428 eV per atom. As for the symmetry: F-43m, No. 216.

Cell: 4.1559 4.1559 4.1559 Å, 60.00 60.00 60.00°
Atoms (fractional coordinates):
Be 0.0000 0.0000 0.0000
Si 0.2500 0.2500 0.2500
Ni 0.5000 0.5000 0.5000
Au 0.7500 0.7500 0.7500

=====

Entry 2:
Material: DyHoPt2
Method: DFT, GGA-PBE
State: optimized geometry

For the magnetization, the calculation gives 0.04 Bohr magnetons per cell. For the electronic total energy, the calculation gives -6.618 eV per atom. As for the symmetry: Pmn2_1, No. 31. Its formation enthalpy at 0 K is -124.97 kJ per mole of atoms.

Cell: 4.5034 7.0051 5.5500 Å, 90.00 90.00 90.00°
Atoms (fractional coordinates):
Dy 0.0000 0.0684 0.0000
Dy 0.5000 0.9316 0.5000
Ho 0.0000 0.5681 0.2179
Ho 0.5000 0.4319 0.7179
Pt 0.0000 0.2081 0.5154
Pt 0.0000 0.7040 0.7026
Pt 0.5000 0.2960 0.2026
Pt 0.5000 0.7919 0.0154

=====

- electronic total energy of number 1 (BeSiNiAu)?
  -4.428 eV per atom

=====

- Which value of magnetization does entry 2 give?
  0.04 Bohr magnetons per cell

=====

- Among the records above, which one has the lowest electronic total energy?
  DyHoPt2